{
  "formula": "Ac3ThPt4",
  "functional": "PBE",
  "state": "optimized geometry",
  "crystal_system": "orthorhombic",
  "dos_at_fermi_per_ev_cell": 3.34,
  "e_tot_ev_per_fu": -53.43,
  "sg": "Cmmm, No. 65",
  "e_form_ev_per_fu": -9.52,
  "lattice": [[4.327, 0.000, 0.000], [0.000, 7.125, -2.432], [0.000, -0.062, 7.529]],
  "species": ["Ac", "Ac", "Ac", "Pt", "Pt", "Pt", "Pt", "Th"],
  "fractional_positions": [[0.000, 0.000, 0.500], [0.500, 0.500, 0.500], [0.000, 0.500, 0.000], [0.000, 0.234, 0.234], [0.500, 0.759, 0.241], [0.000, 0.766, 0.766], [0.500, 0.241, 0.759], [0.500, 0.000, 0.000]]
}